(1)
The following is a PBE-GGA calculation of a relaxed structure of Tb2Pm6Pr, from the Alexandria database.

The value obtained for the total magnetization is 0.0 μB per formula unit. The value obtained for the energy above the most stable polymorph in this dataset is 0 meV/atom.

The space group is P-1 (No. 2) and the conventional cell measures 3.643, 8.916 and 9.618 Å, with angles of 89.65, 79.09 and 89.90 degrees. The distinct sites, in fractional coordinates, are Tb at (0.055, 0.335, 0.389), Pm at (0.167, 0.999, 0.166), Pm at (0.279, 0.665, 0.943), Pm at (0.390, 0.335, 0.721) and Pr at (0.500, 0.000, 0.500).

(2)
The following is a PBE-GGA calculation of a relaxed structure of HfCd4Re2, from the Alexandria database.

The value obtained for the total magnetization is 0.2 μB per formula unit. Its total DFT energy (no corrections) is -4.038 eV/atom.

The space group is I4/mmm (No. 139) and the conventional cell measures 5.382, 5.382 and 13.746 Å, with angles of 90.00, 90.00 and 90.00 degrees. The distinct sites, in fractional coordinates, are Hf at (0.000, 0.000, 0.000), Cd at (0.000, 0.000, 0.211), Cd at (0.000, 0.500, 0.000) and Re at (0.000, 0.000, 0.420).